# Nd8Te4PdSe3 (PBE, optimized geometry)
# total moment = 0.0 μB per cell
# formation energy (no corrections) = -24.1 eV per formula unit
# E_tot = -271.36 eV per cell
data_Nd8Te4PdSe3
_cell_length_a 8.6890
_cell_length_b 8.6890
_cell_length_c 21.7439
_cell_angle_alpha 90.00
_cell_angle_beta 90.00
_cell_angle_gamma 120.00
_space_group_name_H-M_alt 'R -3 m'
_space_group_IT_number 166
_space_group_name_Hall '-R 3 2"'
loop_
_atom_site_label
_atom_site_type_symbol
_atom_site_fract_x
_atom_site_fract_y
_atom_site_fract_z
Nd1 Nd 0.0000 0.0000 0.2404
Nd2 Nd 0.0054 0.5027 0.2412
Te1 Te 0.0000 0.0000 0.0000
Te2 Te 0.0000 0.5000 0.0000
Pd1 Pd 0.0000 0.0000 0.5000
Se1 Se 0.0000 0.5000 0.5000